1.
Rb2AlH2 | PBEsol | optimized geometry

As for the total moment: 0.0 μB/cell. The calculation puts the total energy at -2.26 eV per atom. The density of states at the Fermi level is 0.25 states/eV per atom.

It has space group P4/mbm (No. 127), with a = 7.667 Å, b = 7.667 Å, c = 3.871 Å, α = 90.00°, β = 90.00° and γ = 90.00°. The distinct sites, in fractional coordinates, are Rb at (0.151, 0.349, 0.000), Al at (0.000, 0.000, 0.500) and H at (0.164, 0.664, 0.500).

---

2.
AlReH3 | PBEsol | optimized geometry

As for the total moment: 0.0 μB/cell. The calculation puts the total energy at -5.10 eV per atom. The density of states at the Fermi level is 0.52 states/eV per atom.

It has space group Pm-3m (No. 221), with a = 3.449 Å, b = 3.449 Å, c = 3.449 Å, α = 90.00°, β = 90.00° and γ = 90.00°. The distinct sites, in fractional coordinates, are Al at (0.000, 0.000, 0.000), Re at (0.500, 0.500, 0.500) and H at (0.000, 0.500, 0.500).

---

3.
AlReH2 | PBEsol | optimized geometry

As for the total moment: 0.0 μB/cell. The calculation puts the total energy at -5.17 eV per atom. The density of states at the Fermi level is 0.75 states/eV per atom.

It has space group Fm-3m (No. 225), with a = 5.205 Å, b = 5.205 Å, c = 5.205 Å, α = 90.00°, β = 90.00° and γ = 90.00°. The distinct sites, in fractional coordinates, are Al at (0.000, 0.000, 0.000), Re at (0.000, 0.000, 0.500) and H at (0.250, 0.250, 0.250).

---

4.
AlHRh3 | PBEsol | optimized geometry

As for the total moment: 0.0 μB/cell. The calculation puts the total energy at -6.80 eV per atom. The density of states at the Fermi level is 0.87 states/eV per atom.

It has space group Pm-3m (No. 221), with a = 3.835 Å, b = 3.835 Å, c = 3.835 Å, α = 90.00°, β = 90.00° and γ = 90.00°. The distinct sites, in fractional coordinates, are Al at (0.000, 0.000, 0.000), H at (0.500, 0.500, 0.500) and Rh at (0.000, 0.500, 0.500).

---

5.
AlH3Ru | PBEsol | optimized geometry

As for the total moment: 0.0 μB/cell. The calculation puts the total energy at -4.72 eV per atom. The density of states at the Fermi level is 0.17 states/eV per atom.

It has space group Pm-3m (No. 221), with a = 3.405 Å, b = 3.405 Å, c = 3.405 Å, α = 90.00°, β = 90.00° and γ = 90.00°. The distinct sites, in fractional coordinates, are Al at (0.000, 0.000, 0.000), H at (0.000, 0.500, 0.500) and Ru at (0.500, 0.500, 0.500).

---

6.
Al2H2Ru | PBEsol | optimized geometry

As for the total moment: 0.0 μB/cell. The calculation puts the total energy at -5.06 eV per atom. The density of states at the Fermi level is 0.36 states/eV per atom.

It has space group I4/mmm (No. 139), with a = 2.862 Å, b = 2.862 Å, c = 11.985 Å, α = 90.00°, β = 90.00° and γ = 90.00°. The distinct sites, in fractional coordinates, are Al at (0.000, 0.000, 0.131), H at (0.000, 0.500, 0.250) and Ru at (0.000, 0.000, 0.500).

---

7.
AlTeH2Ru | PBEsol | optimized geometry

As for the total moment: 0.0 μB/cell. The calculation puts the total energy at -4.45 eV per atom. The density of states at the Fermi level is 0.64 states/eV per atom.

It has space group P4/mmm (No. 123), with a = 3.731 Å, b = 3.731 Å, c = 5.129 Å, α = 90.00°, β = 90.00° and γ = 90.00°. The distinct sites, in fractional coordinates, are Al at (0.000, 0.000, 0.000), Te at (0.500, 0.500, 0.000), H at (0.000, 0.500, 0.500) and Ru at (0.500, 0.500, 0.500).

---

8.
AlSb3H | PBEsol | optimized geometry

As for the total moment: 0.0 μB/cell. The calculation puts the total energy at -3.80 eV per atom. The density of states at the Fermi level is 0.52 states/eV per atom.

It has space group Pm-3m (No. 221), with a = 4.663 Å, b = 4.663 Å, c = 4.663 Å, α = 90.00°, β = 90.00° and γ = 90.00°. The distinct sites, in fractional coordinates, are Al at (0.000, 0.000, 0.000), Sb at (0.000, 0.500, 0.500) and H at (0.500, 0.500, 0.500).